Here is a geometry-optimized Er2Al3Ag4 structure from Alexandria via LeMat-Bulk. Energies are from PBE.

Values from the calculation:
The calculated formation energy comes out at -0.2901 eV/atom. The density of states at the Fermi level is 4.75 states/eV/f.u.

a = 8.411 Å, b = 8.411 Å, c = 7.879 Å
α = 90.00°, β = 90.00°, γ = 140.38°
Sites, in units of the cell vectors:
1 Er 0.102 0.898 0.899
2 Er 0.398 0.602 0.399
3 Er 0.602 0.398 0.601
4 Er 0.898 0.102 0.101
5 Al 0.000 0.000 0.500
6 Al 0.013 0.487 0.750
7 Al 0.487 0.013 0.250
8 Al 0.500 0.500 0.000
9 Al 0.513 0.987 0.750
10 Al 0.987 0.513 0.250
11 Ag 0.177 0.823 0.516
12 Ag 0.184 0.316 0.750
13 Ag 0.316 0.184 0.250
14 Ag 0.323 0.677 0.016
15 Ag 0.677 0.323 0.984
16 Ag 0.684 0.816 0.750
17 Ag 0.816 0.684 0.250
18 Ag 0.823 0.177 0.484

***

Here is a geometry-optimized LiHfZnPt structure from Alexandria via LeMat-Bulk. Energies are from PBE.

Values from the calculation:
The calculated formation energy comes out at -0.6102 eV/atom. The density of states at the Fermi level is 5.03 states/eV/f.u.

a = 6.328 Å, b = 6.328 Å, c = 6.328 Å
α = 90.00°, β = 90.00°, γ = 90.00°
Sites, in units of the cell vectors:
1 Li 0.000 0.000 0.000
2 Li 0.000 0.500 0.500
3 Li 0.500 0.000 0.500
4 Li 0.500 0.500 0.000
5 Hf 0.250 0.250 0.250
6 Hf 0.250 0.750 0.750
7 Hf 0.750 0.250 0.750
8 Hf 0.750 0.750 0.250
9 Zn 0.250 0.250 0.750
10 Zn 0.250 0.750 0.250
11 Zn 0.750 0.250 0.250
12 Zn 0.750 0.750 0.750
13 Pt 0.000 0.000 0.500
14 Pt 0.000 0.500 0.000
15 Pt 0.500 0.000 0.000
16 Pt 0.500 0.500 0.500

***

Here is a geometry-optimized As2RuPb structure from Alexandria via LeMat-Bulk. Energies are from PBE.

Values from the calculation:
The calculated formation energy comes out at 0.2108 eV/atom. The density of states at the Fermi level is 2.86 states/eV/f.u.

a = 3.069 Å, b = 5.416 Å, c = 10.188 Å
α = 90.00°, β = 90.00°, γ = 90.00°
Sites, in units of the cell vectors:
1 As 0.000 0.000 0.193
2 As 0.000 0.000 0.807
3 As 0.500 0.500 0.307
4 As 0.500 0.500 0.693
5 Ru 0.000 0.500 0.500
6 Ru 0.500 0.000 0.000
7 Pb 0.000 0.500 0.000
8 Pb 0.500 0.000 0.500

***

Here is a geometry-optimized SbPbO2F structure from Alexandria via LeMat-Bulk. Energies are from PBE.

Values from the calculation:
The density of states at the Fermi level is 2.25 states/eV/f.u. The electronic total energy is -0.1651 hartree per atom.

a = 4.404 Å, b = 4.404 Å, c = 4.510 Å
α = 90.00°, β = 90.00°, γ = 90.00°
Sites, in units of the cell vectors:
1 Sb 0.000 0.000 0.000
2 Pb 0.500 0.500 0.500
3 O 0.000 0.500 0.500
4 O 0.500 0.000 0.500
5 F 0.500 0.500 0.000

***

Here is a geometry-optimized NaTiBPt2 structure from Alexandria via LeMat-Bulk. Energies are from PBE.

Values from the calculation:
The calculated formation energy comes out at 2.1338 eV/atom. The density of states at the Fermi level is 9.48 states/eV/f.u.

a = 4.558 Å, b = 4.558 Å, c = 4.581 Å
α = 90.00°, β = 90.00°, γ = 90.00°
Sites, in units of the cell vectors:
1 Na 0.000 0.000 0.000
2 Ti 0.000 0.000 0.500
3 B 0.500 0.500 0.500
4 Pt 0.000 0.500 0.000
5 Pt 0.500 0.000 0.000

***

Here is a geometry-optimized LaNiRu2C structure from Alexandria via LeMat-Bulk. Energies are from PBE.

Values from the calculation:
The calculated formation energy comes out at -0.0375 eV/atom. The density of states at the Fermi level is 4.48 states/eV/f.u.

a = 4.232 Å, b = 4.232 Å, c = 4.075 Å
α = 90.00°, β = 90.00°, γ = 90.00°
Sites, in units of the cell vectors:
1 La 0.000 0.000 0.000
2 Ni 0.500 0.500 0.000
3 Ru 0.000 0.500 0.500
4 Ru 0.500 0.000 0.500
5 C 0.500 0.500 0.500

***

Here is a geometry-optimized Ba3Li2Mg2Tl4 structure from Alexandria via LeMat-Bulk. Energies are from PBE.

Values from the calculation:
The calculated formation energy comes out at -0.1741 eV/atom. The density of states at the Fermi level is 8.05 states/eV/f.u.

a = 5.470 Å, b = 5.470 Å, c = 14.132 Å
α = 90.00°, β = 90.00°, γ = 120.00°
Sites, in units of the cell vectors:
1 Ba 0.000 0.000 0.000
2 Ba 0.000 0.000 0.282
3 Ba 0.000 0.000 0.718
4 Li 0.333 0.667 0.156
5 Li 0.667 0.333 0.844
6 Mg 0.333 0.667 0.585
7 Mg 0.667 0.333 0.415
8 Tl 0.333 0.667 0.379
9 Tl 0.333 0.667 0.845
10 Tl 0.667 0.333 0.155
11 Tl 0.667 0.333 0.621

***

Here is a geometry-optimized TaVW2 structure from Alexandria via LeMat-Bulk. Energies are from PBE.

Values from the calculation:
The calculated formation energy comes out at -0.0432 eV/atom. As for the energy above the most stable polymorph in this dataset: 0.018 eV/atom. The density of states at the Fermi level is 3.44 states/eV/f.u.

a = 4.472 Å, b = 4.472 Å, c = 3.193 Å
α = 90.00°, β = 90.00°, γ = 90.00°
Sites, in units of the cell vectors:
1 Ta 0.000 0.000 0.000
2 V 0.500 0.500 0.000
3 W 0.000 0.500 0.500
4 W 0.500 0.000 0.500

***

Size of the total moment: 0.0, 0.0, 0.0, 0.0, 0.2, 0.6, 0.0, 0.0 (μB per formula unit)